This record from Alexandria describes a relaxed GaRuAu crystal. The functional is PBE-GGA.

Unit cell a=2.997 b=14.488 c=4.408 alpha=90.00 beta=90.00 gamma=90.00
Space group Cmcm (No. 63)
Asymmetric unit:
Ga 0.000 0.102 0.250 (multiplicity 4)
Ru 0.000 0.456 0.250 (multiplicity 4)
Au 0.000 0.210 0.750 (multiplicity 4)

Calculated values
The calculation puts the formation energy at -2 kJ/mol of atoms. The volume comes out at 191.44 Å³/cell. As for the crystal system: orthorhombic.

=====

This record from Alexandria describes a relaxed ZrSc2Cl crystal. The functional is PBE-GGA.

Unit cell a=3.226 b=3.226 c=8.571 alpha=90.00 beta=90.00 gamma=90.00
Space group P4/mmm (No. 123)
Asymmetric unit:
Zr 0.000 0.000 0.000 (multiplicity 1)
Sc 0.500 0.500 0.253 (multiplicity 2)
Cl 0.000 0.000 0.500 (multiplicity 1)

Calculated values
The calculation puts the uncorrected formation energy at -0.509 eV/atom. For the energy above the most stable polymorph in this dataset, the calculation gives 125 meV per atom. The volume comes out at 89.18 Å³/cell. As for the crystal system: tetragonal.

=====

This record from Alexandria describes a relaxed ZrRe2Ag crystal. The functional is PBE-GGA.

Unit cell a=6.487 b=6.487 c=6.487 alpha=90.00 beta=90.00 gamma=90.00
Space group F-43m (No. 216)
Asymmetric unit:
Zr 0.000 0.000 0.000 (multiplicity 4)
Re 0.000 0.000 0.500 (multiplicity 4)
Re 0.250 0.250 0.250 (multiplicity 4)
Ag 0.250 0.250 0.750 (multiplicity 4)

Calculated values
For the energy above the most stable polymorph in this dataset, the calculation gives 187 meV per atom. The calculation puts the formation energy at 29 kJ/mol of atoms. The volume comes out at 273.03 Å³/cell. As for the crystal system: cubic.

=====

This record from Alexandria describes a relaxed TbPu2Pb3 crystal. The functional is PBE-GGA.

Unit cell a=3.482 b=3.482 c=13.873 alpha=90.00 beta=90.00 gamma=90.00
Space group P4/mmm (No. 123)
Asymmetric unit:
Tb 0.000 0.000 0.000 (multiplicity 1)
Pu 0.000 0.000 0.332 (multiplicity 2)
Pb 0.500 0.500 0.164 (multiplicity 2)
Pb 0.500 0.500 0.500 (multiplicity 1)

Calculated values
The calculation puts the formation energy at -26 kJ/mol of atoms. The volume comes out at 168.21 Å³/cell. As for the crystal system: tetragonal.

=====

This record from Alexandria describes a relaxed CeMg2Ga crystal. The functional is PBE-GGA.

Unit cell a=4.595 b=10.936 c=7.566 alpha=90.00 beta=90.00 gamma=90.00
Space group Cmcm (No. 63)
Asymmetric unit:
Ce 0.000 0.074 0.250 (multiplicity 4)
Mg 0.000 0.364 0.056 (multiplicity 8)
Ga 0.000 0.215 0.750 (multiplicity 4)

Calculated values
For the energy above the most stable polymorph in this dataset, the calculation gives 8 meV per atom. The calculation puts the formation energy at -20 kJ/mol of atoms. The volume comes out at 380.21 Å³/cell. As for the crystal system: orthorhombic.

=====

This record from Alexandria describes a relaxed Nd2GdLu crystal. The functional is PBE-GGA.

Unit cell a=8.111 b=8.111 c=8.111 alpha=90.00 beta=90.00 gamma=90.00
Space group Fm-3m (No. 225)
Asymmetric unit:
Nd 0.250 0.250 0.250 (multiplicity 8)
Gd 0.000 0.000 0.000 (multiplicity 4)
Lu 0.000 0.000 0.500 (multiplicity 4)

Calculated values
For the energy above the most stable polymorph in this dataset, the calculation gives 81 meV per atom. The calculation puts the formation energy at 10 kJ/mol of atoms. The volume comes out at 533.65 Å³/cell. As for the crystal system: cubic.

=====

This record from Alexandria describes a relaxed CsScI3 crystal. The functional is PBE-GGA.

Unit cell a=5.939 b=5.939 c=5.939 alpha=90.00 beta=90.00 gamma=90.00
Space group Pm-3m (No. 221)
Asymmetric unit:
Cs 0.000 0.000 0.000 (multiplicity 1)
Sc 0.500 0.500 0.500 (multiplicity 1)
I 0.000 0.500 0.500 (multiplicity 3)

Calculated values
The calculation puts the uncorrected formation energy at -1.216 eV/atom. For the energy above the most stable polymorph in this dataset, the calculation gives 93 meV per atom. The volume comes out at 209.49 Å³/cell. As for the crystal system: cubic.

=====

This record from Alexandria describes a relaxed Ti2Be2GaCo5 crystal. The functional is PBE-GGA.

Unit cell a=8.590 b=8.590 c=3.020 alpha=90.00 beta=90.00 gamma=90.00
Space group P4/mbm (No. 127)
Asymmetric unit:
Ti 0.176 0.324 0.000 (multiplicity 4)
Be 0.120 0.620 0.000 (multiplicity 4)
Ga 0.000 0.000 0.000 (multiplicity 2)
Co 0.000 0.500 0.500 (multiplicity 2)
Co 0.070 0.787 0.500 (multiplicity 8)

Calculated values
The calculation puts the formation energy at -37 kJ/mol of atoms. The volume comes out at 222.85 Å³/cell. As for the crystal system: tetragonal.

=====

Question: Which value of volume does entry 8 give?
Answer: 222.85 Å³/cell

=====

Question: Which of these has the highest volume?
Answer: Nd2GdLu